{
  "formula": "Rb2MgGa",
  "functional": "GGA-PBE",
  "state": "optimized geometry",
  "ef_ev_per_fu": 0.814,
  "rho_g_cm3": 1.82,
  "de_polymorph_mev_per_atom": 0.0,
  "cell": [[-3.259, 13.242, 0.173], [-0.629, 0.023, -13.624], [-4.467, 6.010, -6.610]],
  "species": ["Rb", "Rb", "Rb", "Rb", "Ga", "Ga", "Mg", "Mg"],
  "fractional_positions": [[0.375, 0.194, 0.750], [0.806, 0.125, 0.250], [0.944, 0.625, 0.250], [0.875, 0.056, 0.750], [0.750, 0.250, 0.500], [0.000, 0.000, 0.000], [0.250, 0.750, 0.500], [0.500, 0.500, 0.000]]
}